A plane-wave DFT calculation with PBE-GGA was carried out for a relaxed structure of TcS2.

abc: 5.8773 5.8288 5.9303
angles: 90.00 111.84 90.00
Positions (direct):
S1 0.3471 0.6235 0.1317
S2 0.8439 0.8674 0.1770
S3 0.1561 0.3674 0.3230
S4 0.6529 0.1235 0.3683
S5 0.3471 0.8765 0.6317
S6 0.8439 0.6326 0.6770
S7 0.1561 0.1326 0.8230
S8 0.6529 0.3765 0.8683
Tc1 0.2259 0.0005 0.2125
Tc2 0.7741 0.5005 0.2875
Tc3 0.2259 0.4995 0.7125
Tc4 0.7741 0.9995 0.7875

Calculated values
**E above lowest polymorph**: 0.0000 eV/atom
**SG**: P2_1/c (14)


A plane-wave DFT calculation with PBE-GGA was carried out for a relaxed structure of TcS2.

abc: 3.1464 5.7419 13.1488
angles: 90.00 90.00 90.00
Positions (direct):
S1 0.5000 0.3528 0.1049
S2 0.0000 0.8538 0.1345
S3 0.0000 0.2966 0.3803
S4 0.5000 0.7955 0.4098
S5 0.0000 0.6472 0.6049
S6 0.5000 0.1462 0.6345
S7 0.5000 0.7034 0.8803
S8 0.0000 0.2045 0.9098
Tc1 0.0000 0.5778 0.0055
Tc2 0.5000 0.9797 0.0092
Tc3 0.5000 0.4222 0.5055
Tc4 0.0000 0.0203 0.5092

Calculated values
**E above lowest polymorph**: 0.0318 eV/atom
**SG**: Pmn2_1 (31)